No. 1
Computed, not measured: crystalline SiSeCl at its relaxed geometry at the PBE level of DFT.

Summary:
Energy relative to the elements, uncorrected = 0.88 eV/f.u.

Unit cell a=4.7148 b=4.7148 c=2.9576 alpha=90.00 beta=90.00 gamma=120.00
Fractional positions:
1 Se 0.6667 0.3333 0.4785
2 Cl 0.0000 0.0000 0.9527
3 Si 0.3333 0.6667 0.5688

No. 2
Computed, not measured: crystalline CaTb2Cu at its relaxed geometry at the PBE level of DFT.

Summary:
ΔE_f = -17 kJ/mol of formula units

Unit cell a=3.5440 b=3.5440 c=9.2582 alpha=90.00 beta=90.00 gamma=90.00
Fractional positions:
1 Cu 0.5000 0.5000 0.0000
2 Tb 0.0000 0.0000 0.1785
3 Tb 0.0000 0.0000 0.8215
4 Ca 0.5000 0.5000 0.5000

No. 3
Computed, not measured: crystalline Sc3InF at its relaxed geometry at the PBE level of DFT.

Summary:
Energy relative to the elements, uncorrected = -5.20 eV/f.u.

Unit cell a=4.5560 b=4.5560 c=4.5560 alpha=90.00 beta=90.00 gamma=90.00
Fractional positions:
1 Sc 0.5000 0.0000 0.0000
2 F 0.0000 0.0000 0.0000
3 Sc 0.0000 0.0000 0.5000
4 In 0.5000 0.5000 0.5000
5 Sc 0.0000 0.5000 0.0000

No. 4
Computed, not measured: crystalline BPbAu3 at its relaxed geometry at the PBE level of DFT.

Summary:
ΔE_f = 746 kJ/mol of formula units

Unit cell a=5.3392 b=5.3392 c=5.3392 alpha=90.00 beta=90.00 gamma=90.00
Fractional positions:
1 Au 0.5000 0.0000 0.0000
2 Au 0.0000 0.5000 0.0000
3 Au 0.0000 0.0000 0.5000
4 B 0.5000 0.5000 0.5000
5 Pb 0.0000 0.0000 0.0000

No. 5
Computed, not measured: crystalline KGaTeN2 at its relaxed geometry at the PBE level of DFT.

Summary:
Energy relative to the elements, uncorrected = 5.38 eV/f.u.

Unit cell a=4.4096 b=4.4096 c=5.5931 alpha=90.00 beta=90.00 gamma=90.00
Fractional positions:
1 K 0.5000 0.5000 0.5000
2 N 0.0000 0.5000 0.0000
3 Ga 0.0000 0.0000 0.0000
4 N 0.5000 0.0000 0.0000
5 Te 0.0000 0.0000 0.5000

No. 6
Computed, not measured: crystalline Zn6CuNi3 at its relaxed geometry at the PBE level of DFT.

Summary:
ΔE_f = -39 kJ/mol of formula units

Unit cell a=4.9919 b=4.9919 c=7.0013 alpha=69.11 beta=69.11 gamma=60.00
Fractional positions:
1 Ni 0.3092 0.3092 0.0724
2 Ni 0.6907 0.6907 0.9278
3 Zn 0.7477 0.2462 0.7607
4 Zn 0.2462 0.2454 0.7607
5 Ni 0.1858 0.1858 0.4426
6 Cu 0.8141 0.8141 0.5577
7 Zn 0.7519 0.2536 0.2391
8 Zn 0.2536 0.7554 0.2391
9 Zn 0.7554 0.7519 0.2391
10 Zn 0.2454 0.7477 0.7607

No. 7
Computed, not measured: crystalline Na2SrCdF6 at its relaxed geometry at the PBE level of DFT.

Summary:
Energy relative to the elements, uncorrected = -28.90 eV/f.u.

Unit cell a=5.9780 b=6.1659 c=8.6156 alpha=90.00 beta=89.41 gamma=90.00
Fractional positions:
1 F 0.3659 0.9001 0.7408
2 Sr 0.0000 0.5000 0.5000
3 F 0.8266 0.8418 0.5505
4 F 0.6632 0.3120 0.5882
5 Na 0.5083 0.4604 0.2317
6 Sr 0.5000 0.0000 0.0000
7 F 0.6734 0.3418 0.9495
8 Na 0.9917 0.9604 0.2683
9 Cd 0.0000 0.5000 0.0000
10 Na 0.0083 0.0396 0.7317
11 Na 0.4917 0.5396 0.7683
12 Cd 0.5000 0.0000 0.5000
13 F 0.1341 0.4001 0.7592
14 F 0.3368 0.6880 0.4118
15 F 0.8659 0.5999 0.2408
16 F 0.1734 0.1582 0.4495
17 F 0.6341 0.0999 0.2592
18 F 0.8368 0.8120 0.9118
19 F 0.3266 0.6582 0.0505
20 F 0.1632 0.1880 0.0882

No. 8
Computed, not measured: crystalline Th2GaGe3Ir4 at its relaxed geometry at the PBE level of DFT.

Summary:
ΔE_f = -786 kJ/mol of formula units

Unit cell a=4.2414 b=4.2414 c=10.3958 alpha=90.00 beta=90.00 gamma=90.00
Fractional positions:
1 Ir 0.5000 0.5000 0.0000
2 Ir 0.0000 0.5000 0.3642
3 Ge 0.0000 0.0000 0.5000
4 Ge 0.0000 0.5000 0.1302
5 Th 0.0000 0.5000 0.7451
6 Th 0.5000 0.0000 0.2549
7 Ir 0.5000 0.0000 0.6358
8 Ge 0.5000 0.0000 0.8698
9 Ga 0.5000 0.5000 0.5000
10 Ir 0.0000 0.0000 0.0000

Repeat the eighth record exactly.
Computed, not measured: crystalline Th2GaGe3Ir4 at its relaxed geometry at the PBE level of DFT.

Summary:
ΔE_f = -786 kJ/mol of formula units

Unit cell a=4.2414 b=4.2414 c=10.3958 alpha=90.00 beta=90.00 gamma=90.00
Fractional positions:
1 Ir 0.5000 0.5000 0.0000
2 Ir 0.0000 0.5000 0.3642
3 Ge 0.0000 0.0000 0.5000
4 Ge 0.0000 0.5000 0.1302
5 Th 0.0000 0.5000 0.7451
6 Th 0.5000 0.0000 0.2549
7 Ir 0.5000 0.0000 0.6358
8 Ge 0.5000 0.0000 0.8698
9 Ga 0.5000 0.5000 0.5000
10 Ir 0.0000 0.0000 0.0000